Entry 1:
Below is DyTmSn after structural relaxation, with properties calculated at the PBE level.

Computed properties:
symmetry = F-43m, No. 216
polymorph energy (0 for the lowest one) = 0 kJ/mol of formula units

abc: 7.200 7.200 7.200
angles: 90.00 90.00 90.00
Atoms (fractional coordinates):
Dy 0.000 0.000 0.000
Dy 0.000 0.500 0.500
Dy 0.500 0.000 0.500
Dy 0.500 0.500 0.000
Tm 0.000 0.000 0.500
Tm 0.000 0.500 0.000
Tm 0.500 0.000 0.000
Tm 0.500 0.500 0.500
Sn 0.250 0.250 0.250
Sn 0.250 0.750 0.750
Sn 0.750 0.250 0.750
Sn 0.750 0.750 0.250

Entry 2:
Below is Dy3Tm2Sn3 after structural relaxation, with properties calculated at the PBE level.

Computed properties:
uncorrected energy = -81.06 eV/cell
symmetry = P6_3/mcm, No. 193

abc: 8.909 8.909 6.489
angles: 90.00 90.00 120.00
Atoms (fractional coordinates):
Dy 0.000 0.238 0.250
Dy 0.000 0.762 0.750
Dy 0.238 0.000 0.250
Dy 0.238 0.238 0.750
Dy 0.762 0.000 0.750
Dy 0.762 0.762 0.250
Tm 0.333 0.667 0.000
Tm 0.333 0.667 0.500
Tm 0.667 0.333 0.000
Tm 0.667 0.333 0.500
Sn 0.000 0.396 0.750
Sn 0.000 0.604 0.250
Sn 0.396 0.000 0.750
Sn 0.396 0.396 0.250
Sn 0.604 0.000 0.250
Sn 0.604 0.604 0.750